This record from Alexandria describes a geometry-optimized LaDyAl2Au5 structure. The functional is PBE.

```
9
Lattice="4.791 0.000 0.000 0.000 4.791 0.000 0.000 0.000 8.418" Properties=species:S:1:pos:R:3 pbc="T T T"
La 0.000 0.000 0.000
Dy 0.000 0.000 4.209
Al 2.395 2.395 2.911
Al 2.395 2.395 5.507
Au 0.000 2.395 2.078
Au 0.000 2.395 6.340
Au 2.395 0.000 2.078
Au 2.395 0.000 6.340
Au 2.395 2.395 0.000
```

- E_tot (eV/atom) = -4.31
- DFT formation energy (eV per atom) = -0.594